(1)
Entry from Alexandria: a PBEsol-optimized structure of TaAgHg2 (meta-GGA SCAN).

a b c (Å): 2.8803 4.1073 6.2532
angles (deg): 90.00 90.00 90.00
Closest atoms and distances in Å follow each position.
Sites, in units of the cell vectors:
Hg1 0.0000 0.0000 0.7513  4 Hg 2.88-3.14, 4 Ta 2.95, 4 Ag 2.96
Hg2 0.0000 0.0000 0.2487  4 Hg 2.88-3.14, 4 Ta 2.95, 4 Ag 2.96
Ag1 0.5000 0.5000 0.5000  2 Ag 2.88, 8 Hg 2.96, 2 Ta 3.13
Ta1 0.5000 0.5000 0.0000  2 Ta 2.88, 8 Hg 2.95, 2 Ag 3.13

Summary:
Formation energy (eV per atom): 0.3570

(2)
Entry from Alexandria: a PBEsol-optimized structure of SrLaCd2 (meta-GGA SCAN).

a b c (Å): 3.8470 5.5684 5.5679
angles (deg): 90.00 90.00 90.00
Closest atoms and distances in Å follow each position.
Sites, in units of the cell vectors:
Sr1 0.5000 0.5000 0.1261  8 Cd 3.38-3.39
Cd1 0.0000 0.0000 0.1228  4 La 3.38-3.39, 4 Sr 3.38
Cd2 0.0000 0.5000 0.6271  4 Sr 3.38-3.39, 4 La 3.38
La1 0.5000 0.0000 0.6240  8 Cd 3.38-3.39

Summary:
Formation energy (eV per atom): -0.4274

(3)
Entry from Alexandria: a PBEsol-optimized structure of KLiTl2 (meta-GGA SCAN).

a b c (Å): 5.4157 5.4157 5.4157
angles (deg): 60.00 60.00 60.00
Closest atoms and distances in Å follow each position.
Sites, in units of the cell vectors:
Tl1 0.2500 0.2500 0.2500  4 K 3.32, 4 Li 3.32
Tl2 0.7500 0.7500 0.7500  4 K 3.32, 4 Li 3.32
K1 0.5000 0.5000 0.5000  8 Tl 3.32
Li1 0.0000 0.0000 0.0000  8 Tl 3.32

Summary:
Energy relative to the lowest polymorph listed for this composition (meV/atom): 175
Formation energy (eV per atom): -0.0940

(4)
Entry from Alexandria: a PBEsol-optimized structure of AlCrP2S (meta-GGA SCAN).

a b c (Å): 4.5575 4.5566 4.5566
angles (deg): 90.00 90.00 90.00
Closest atoms and distances in Å follow each position.
Sites, in units of the cell vectors:
Cr1 0.5000 0.5000 0.5000  4 S 3.22, 8 P 3.22
S1 0.5000 0.0000 0.0000  2 Al 2.28
Al1 0.0000 0.0000 0.0000  4 P 2.28, 2 S 2.28
P1 0.0000 0.0000 0.5000  2 Al 2.28
P2 0.0000 0.5000 0.0000  2 Al 2.28

Summary:
E_form (uncorrected) (eV per formula unit): 2.509

(5)
Entry from Alexandria: a PBEsol-optimized structure of CoBPd2Br (meta-GGA SCAN).

a b c (Å): 4.0469 4.6668 4.6668
angles (deg): 90.00 90.00 90.00
Closest atoms and distances in Å follow each position.
Sites, in units of the cell vectors:
B1 0.5000 0.0000 0.0000  2 Br 2.02
Co1 0.5000 0.5000 0.5000  8 Pd 3.09, 4 B 3.30
Br1 0.0000 0.0000 0.0000  2 B 2.02
Pd1 0.0000 0.0000 0.5000  2 Br 2.33
Pd2 0.0000 0.5000 0.0000  2 Br 2.33

Summary:
E_form (uncorrected) (eV per formula unit): 8.207

(6)
Entry from Alexandria: a PBEsol-optimized structure of RbTlF4 (meta-GGA SCAN).

a b c (Å): 6.2151 8.2853 8.4077
angles (deg): 90.00 90.00 90.00
Closest atoms and distances in Å follow each position.
Sites, in units of the cell vectors:
Rb1 0.5147 0.3107 0.7635  9 F 2.80-3.12
Rb2 0.4853 0.6893 0.2635  9 F 2.80-3.12
Rb3 0.5147 0.1893 0.2635  9 F 2.80-3.12
Rb4 0.4853 0.8107 0.7635  9 F 2.80-3.12
Tl1 0.0001 0.5002 0.0133  6 F 2.07-2.26
Tl2 0.9999 0.4998 0.5133  6 F 2.07-2.26
Tl3 0.0001 0.9998 0.5133  6 F 2.07-2.26
Tl4 0.9999 0.0002 0.0133  6 F 2.07-2.26
F1 0.8560 0.2502 0.0130  2 Tl 2.26
F2 0.1440 0.7498 0.5130  2 Tl 2.26
F3 0.8560 0.2498 0.5130  2 Tl 2.26
F4 0.1440 0.7502 0.0130  2 Tl 2.26
F5 0.1168 0.4733 0.7633  2 Tl 2.23
F6 0.8832 0.5267 0.2633  2 Tl 2.23
F7 0.1168 0.0267 0.2633  2 Tl 2.23
F8 0.8832 0.9733 0.7633  2 Tl 2.23
F9 0.6970 0.5769 0.9454  1 Tl 2.07
F10 0.3030 0.4231 0.4454  1 Tl 2.07
F11 0.6970 0.9231 0.4454  1 Tl 2.07
F12 0.3030 0.0769 0.9454  1 Tl 2.07
F13 0.3032 0.4238 0.0816  1 Tl 2.07
F14 0.6968 0.5762 0.5816  1 Tl 2.07
F15 0.3032 0.0762 0.5816  1 Tl 2.07
F16 0.6968 0.9238 0.0816  1 Tl 2.07

Summary:
E_form (uncorrected) (eV per formula unit): -13.825

| no. | uncorrected energy (eV/atom) |
| --- | --- |
| 1 | -58.21 |
| 2 | -31.98 |
| 3 | -38.95 |
| 4 | -10.81 |
| 5 | -20.31 |
| 6 | -20.18 |